(1)
Entry from Alexandria via LeMat-Bulk: LiNi2H at its PBEsol-relaxed geometry (SCAN).

abc: 5.120 5.120 5.120
angles: 90.00 90.00 90.00
Space group Fm-3m (No. 225)
Unique sites:
1 Li 0.000 0.000 0.000 x4
2 Ni 0.250 0.250 0.250 x8
3 H 0.000 0.000 0.500 x4


(2)
Entry from Alexandria via LeMat-Bulk: Li4Ni2P4H3O16 at its PBEsol-relaxed geometry (SCAN).

abc: 4.853 7.364 7.973
angles: 90.99 91.82 102.08
Space group P1 (No. 1)
Unique sites:
1 Li 0.000 0.000 0.000 x1
2 Li 0.235 0.316 0.744 x1
3 Li 0.484 0.471 0.218 x1
4 Li 0.755 0.844 0.529 x1
5 Ni 0.117 0.157 0.372 x1
6 Ni 0.620 0.657 0.873 x1
7 P 0.254 0.916 0.721 x1
8 P 0.498 0.906 0.204 x1
9 P 0.736 0.410 0.541 x1
10 P 0.984 0.397 0.023 x1
11 H 0.078 0.647 0.478 x1
12 H 0.156 0.663 0.241 x1
13 H 0.612 0.155 0.870 x1
14 O 0.005 0.821 0.822 x1
15 O 0.077 0.356 0.203 x1
16 O 0.159 0.958 0.542 x1
17 O 0.234 0.494 0.924 x1
18 O 0.271 0.020 0.185 x1
19 O 0.353 0.708 0.282 x1
20 O 0.384 0.103 0.814 x1
21 O 0.471 0.788 0.697 x1
22 O 0.498 0.327 0.415 x1
23 O 0.613 0.860 0.034 x1
24 O 0.624 0.455 0.711 x1
25 O 0.734 0.984 0.331 x1
26 O 0.770 0.528 0.048 x1
27 O 0.853 0.212 0.930 x1
28 O 0.872 0.607 0.460 x1
29 O 0.966 0.297 0.559 x1


In the order shown, the computed size of the total moment values come out to 0.0 3.1 Bohr magnetons per cell.
In the order shown, the computed total DFT energy (no corrections) values come out to -144.31 -254.68 eV per cell.